Here is a relaxed BaTa3Si crystal from the Alexandria database. Energies are from PBE-GGA.

## Properties
Distance to the lowest polymorph of the same formula   0.0000 eV per atom
Total energy   -37.8 eV per cell
Size of the total moment   0.000 Bohr magnetons per cell
Space-group type   No. 221
ΔE_f (raw)   1.026 eV/atom

a b c (Å): 4.9126 4.9126 4.9126
angles (deg): 90.00 90.00 90.00
Closest atoms and distances in Å follow each position.
Fractional positions:
Ta 0.0000 0.5000 0.0000  2 Si 2.46
Ta 0.0000 0.0000 0.5000  2 Si 2.46
Ta 0.5000 0.0000 0.0000  2 Si 2.46
Ba 0.5000 0.5000 0.5000  12 Ta 3.47
Si 0.0000 0.0000 0.0000  6 Ta 2.46